[1]
## ZrIr (GGA-PBEsol)

Data for a relaxed ZrIr crystal.

## Properties
Crystal system: tetragonal

The structure in CIF format:
```
data_ZrIr
_chemical_formula_sum 'Zr1 Ir1'
_symmetry_space_group_name_H-M 'P 4/m m m'
_symmetry_Int_Tables_number 123
_symmetry_space_group_name_Hall '-P 4 2'
_cell_length_a 3.377
_cell_length_b 3.377
_cell_length_c 3.047
_cell_angle_alpha 90.00
_cell_angle_beta 90.00
_cell_angle_gamma 90.00
loop_
_atom_site_label
_atom_site_fract_x
_atom_site_fract_y
_atom_site_fract_z
Zr1 0.000 0.000 0.000
Ir1 0.500 0.500 0.500
```

---

[2]
## ZrIr2 (GGA-PBEsol)

Data for a relaxed ZrIr2 crystal.

## Properties
Crystal system: orthorhombic

The structure in CIF format:
```
data_ZrIr2
_chemical_formula_sum 'Zr4 Ir8'
_symmetry_space_group_name_H-M 'P n m a'
_symmetry_Int_Tables_number 62
_cell_length_a 5.580
_cell_length_b 3.996
_cell_length_c 8.582
_cell_angle_alpha 90.00
_cell_angle_beta 90.00
_cell_angle_gamma 90.00
loop_
_symmetry_equiv_pos_as_xyz
'x,y,z'
'-x,-y,-z'
'-x+1/2,-y,z+1/2'
'x+1/2,y,-z+1/2'
'x+1/2,-y+1/2,-z+1/2'
'-x+1/2,y+1/2,z+1/2'
'-x,y+1/2,-z'
'x,-y+1/2,z'
loop_
_atom_site_label
_atom_site_fract_x
_atom_site_fract_y
_atom_site_fract_z
Zr1 0.143 0.250 0.103
Ir1 0.114 0.250 0.749
Ir2 0.129 0.250 0.423
```

---

[3]
## K (GGA-PBEsol)

Data for a relaxed K crystal.

## Properties
Crystal system: cubic

The structure in CIF format:
```
data_K
_chemical_formula_sum 'K2'
_symmetry_space_group_name_H-M 'I m -3 m'
_symmetry_Int_Tables_number 229
_symmetry_space_group_name_Hall '-I 4 2 3'
_cell_length_a 5.174
_cell_length_b 5.174
_cell_length_c 5.174
_cell_angle_alpha 90.00
_cell_angle_beta 90.00
_cell_angle_gamma 90.00
loop_
_atom_site_label
_atom_site_fract_x
_atom_site_fract_y
_atom_site_fract_z
K1 0.000 0.000 0.000
```

---

[4]
## K (GGA-PBEsol)

Data for a relaxed K crystal.

## Properties
Crystal system: hexagonal

The structure in CIF format:
```
data_K
_chemical_formula_sum 'K2'
_symmetry_space_group_name_H-M 'P 63/m m c'
_symmetry_Int_Tables_number 194
_symmetry_space_group_name_Hall '-P 6c 2c'
_cell_length_a 4.6218
_cell_length_b 4.6218
_cell_length_c 7.5220
_cell_angle_alpha 90.00
_cell_angle_beta 90.00
_cell_angle_gamma 120.00
loop_
_atom_site_label
_atom_site_fract_x
_atom_site_fract_y
_atom_site_fract_z
K1 0.3333 0.6667 0.2500
```

---

[5]
## K (GGA-PBEsol)

Data for a relaxed K crystal.

## Properties
Crystal system: trigonal

The structure in CIF format:
```
data_K
_chemical_formula_sum 'K9'
_symmetry_space_group_name_H-M 'R -3 m'
_symmetry_Int_Tables_number 166
_symmetry_space_group_name_Hall '-R 3 2"'
_cell_length_a 4.6202
_cell_length_b 4.6202
_cell_length_c 33.8936
_cell_angle_alpha 90.00
_cell_angle_beta 90.00
_cell_angle_gamma 120.00
loop_
_atom_site_label
_atom_site_fract_x
_atom_site_fract_y
_atom_site_fract_z
K1 0.0000 0.0000 0.0000
K2 0.0000 0.0000 0.2222
```

---

[6]
## K (GGA-PBEsol)

Data for a relaxed K crystal.

## Properties
Crystal system: orthorhombic

The structure in CIF format:
```
data_K
_chemical_formula_sum 'K8'
_symmetry_space_group_name_H-M 'P n m a'
_symmetry_Int_Tables_number 62
_cell_length_a 11.320
_cell_length_b 4.484
_cell_length_c 11.326
_cell_angle_alpha 90.00
_cell_angle_beta 90.00
_cell_angle_gamma 90.00
loop_
_symmetry_equiv_pos_as_xyz
'x,y,z'
'-x,-y,-z'
'-x+1/2,-y,z+1/2'
'x+1/2,y,-z+1/2'
'x+1/2,-y+1/2,-z+1/2'
'-x+1/2,y+1/2,z+1/2'
'-x,y+1/2,-z'
'x,-y+1/2,z'
loop_
_atom_site_label
_atom_site_fract_x
_atom_site_fract_y
_atom_site_fract_z
K1 0.006 0.250 0.182
K2 0.182 0.250 0.522
```

---

| no. | E_form (eV/atom) | calculated density (g cm⁻³) |
| --- | --- | --- |
| 1 | -0.79 | 13.5 |
| 2 | -0.73 | 16.5 |
| 3 | 0.00 | 0.9 |
| 4 | 0.00 | 0.9 |
| 5 | 0.00 | 0.9 |
| 6 | 0.04 | 0.9 |